1.
Density functional theory data (GGA-PBE) for Rb2NaCdBi2 after structural relaxation.

Calculated values
Raw total energy: -0.1694 Ry per atom
Spin magnetization: 0.0000 μB per atom

a = 7.4326 Å, b = 7.3995 Å, c = 10.1260 Å
α = 111.43°, β = 111.53°, γ = 90.00°
Fractional positions:
Rb  0.4123  0.1689  0.3378
Rb  0.5877  0.8311  0.6622
Rb  0.0745  0.3311  0.6622
Rb  0.9255  0.6689  0.3378
Na  0.0000  0.7500  0.0000
Na  0.0000  0.2500  0.0000
Cd  0.5000  0.7500  0.0000
Cd  0.5000  0.2500  0.0000
Bi  0.8273  0.1014  0.2027
Bi  0.3755  0.6014  0.2027
Bi  0.6245  0.3986  0.7973
Bi  0.1727  0.8986  0.7973


2.
Density functional theory data (GGA-PBE) for V2MoIr after structural relaxation.

Calculated values
Raw total energy: -0.6659 Ry per atom
Spin magnetization: 0.0000 μB per atom

a = 5.5702 Å, b = 5.5702 Å, c = 5.5702 Å
α = 58.59°, β = 152.04°, γ = 129.63°
Fractional positions:
V  0.0000  0.2583  0.2583
V  0.0000  0.7417  0.7417
Mo  0.0000  0.0000  0.0000
Ir  0.0000  0.5000  0.5000


3.
Density functional theory data (GGA-PBE) for MnBiSe2 after structural relaxation.

Calculated values
Raw total energy: -0.3828 Ry per atom
Spin magnetization: 1.0849 μB per atom
Formation energy (no corrections): -0.813 eV per formula unit

a = 20.1926 Å, b = 4.9234 Å, c = 8.4333 Å
α = 90.00°, β = 147.24°, γ = 90.00°
Fractional positions:
Mn  0.5073  0.2500  0.3684
Mn  0.4927  0.7500  0.6316
Mn  0.9927  0.7500  0.1316
Mn  0.0073  0.2500  0.8684
Bi  0.1459  0.2500  0.8491
Bi  0.8541  0.7500  0.1509
Bi  0.3541  0.7500  0.6509
Bi  0.6459  0.2500  0.3491
Se  0.0915  0.7500  0.0570
Se  0.9085  0.2500  0.9430
Se  0.4085  0.2500  0.4430
Se  0.5915  0.7500  0.5570
Se  0.1378  0.7500  0.6617
Se  0.8622  0.2500  0.3383
Se  0.3622  0.2500  0.8383
Se  0.6378  0.7500  0.1617


4.
Density functional theory data (GGA-PBE) for LiBe2Au5 after structural relaxation.

Calculated values
Raw total energy: -0.2516 Ry per atom
Spin magnetization: 0.0000 μB per atom

a = 3.7003 Å, b = 6.9017 Å, c = 6.9017 Å
α = 50.21°, β = 74.45°, γ = 74.45°
Fractional positions:
Li  0.0000  0.0000  0.0000
Be  0.7982  0.7018  0.7018
Be  0.2018  0.2982  0.2982
Au  0.0000  0.5000  0.5000
Au  0.6449  0.6099  0.1003
Au  0.3551  0.3901  0.8997
Au  0.3551  0.8997  0.3901
Au  0.6449  0.1003  0.6099


5.
Density functional theory data (GGA-PBE) for CaLa2ScH after structural relaxation.

Calculated values
Raw total energy: -0.3227 Ry per atom
Spin magnetization: 0.0000 μB per atom

a = 5.2117 Å, b = 5.2117 Å, c = 4.9864 Å
α = 90.00°, β = 90.00°, γ = 90.00°
Fractional positions:
Sc  0.5000  0.5000  0.5000
H  0.0000  0.0000  0.0000
Ca  0.0000  0.0000  0.5000
La  0.0000  0.5000  0.0000
La  0.5000  0.0000  0.0000


6.
Density functional theory data (GGA-PBE) for ScMnTe2 after structural relaxation.

Calculated values
Raw total energy: -0.4466 Ry per atom
Spin magnetization: 0.9499 μB per atom
Formation energy (no corrections): -2.523 eV per formula unit

a = 3.8761 Å, b = 3.8761 Å, c = 6.7781 Å
α = 90.00°, β = 90.00°, γ = 89.99°
Fractional positions:
Mn  0.0000  0.0000  0.4856
Sc  0.5000  0.5000  0.7652
Te  0.0000  0.0000  0.8988
Te  0.5000  0.5000  0.3504


7.
Density functional theory data (GGA-PBE) for MnSi3Cl after structural relaxation.

Calculated values
Raw total energy: -0.4060 Ry per atom
Spin magnetization: 0.0000 μB per atom
Formation energy (no corrections): -0.331 eV per formula unit

a = 4.4340 Å, b = 4.4340 Å, c = 4.4340 Å
α = 90.00°, β = 90.00°, γ = 90.00°
Fractional positions:
Si  0.0000  0.5000  0.0000
Si  0.0000  0.0000  0.5000
Si  0.5000  0.0000  0.0000
Mn  0.0000  0.0000  0.0000
Cl  0.5000  0.5000  0.5000


8.
Density functional theory data (GGA-PBE) for Cs2SnSb2 after structural relaxation.

Calculated values
Raw total energy: -0.2248 Ry per atom
Spin magnetization: 0.0000 μB per atom
Formation energy (no corrections): -1.337 eV per formula unit

a = 8.1482 Å, b = 8.1482 Å, c = 6.2933 Å
α = 90.00°, β = 90.00°, γ = 90.00°
Fractional positions:
Cs  0.1790  0.6790  0.5000
Cs  0.6790  0.8210  0.5000
Cs  0.8210  0.3210  0.5000
Cs  0.3210  0.1790  0.5000
Sb  0.3761  0.8761  0.0000
Sb  0.8761  0.6239  0.0000
Sb  0.6239  0.1239  0.0000
Sb  0.1239  0.3761  0.0000
Sn  0.0000  0.0000  0.0000
Sn  0.5000  0.5000  0.0000